(1)
# YHfNbCu2 | Alexandria | PBE | optimized geometry
data_YHfNbCu2
_symmetry_space_group_name_H-M 'P 1'
_symmetry_Int_Tables_number 1
_cell_length_a 4.8042
_cell_length_b 4.8042
_cell_length_c 5.0092
_cell_angle_alpha 90.00
_cell_angle_beta 90.00
_cell_angle_gamma 90.00
loop_
_symmetry_equiv_pos_as_xyz
'x,y,z'
loop_
_atom_site_label
_atom_site_fract_x
_atom_site_fract_y
_atom_site_fract_z
_atom_site_occupancy
Y1 0.0000 0.0000 0.0000 1
Hf1 0.5000 0.5000 0.0000 1
Nb1 0.0000 0.0000 0.5000 1
Cu1 0.0000 0.5000 0.5000 1
Cu2 0.5000 0.0000 0.5000 1
# - volume (A^3/atom) = 23.12
# - ΔE_f (meV per atom) = 1222
# - crystal system = tetragonal

(2)
# ZrInAs2 | Alexandria | PBE | optimized geometry
data_ZrInAs2
_symmetry_space_group_name_H-M 'P 1'
_symmetry_Int_Tables_number 1
_cell_length_a 3.6505
_cell_length_b 3.6505
_cell_length_c 6.3090
_cell_angle_alpha 90.00
_cell_angle_beta 90.00
_cell_angle_gamma 90.00
loop_
_symmetry_equiv_pos_as_xyz
'x,y,z'
loop_
_atom_site_label
_atom_site_fract_x
_atom_site_fract_y
_atom_site_fract_z
_atom_site_occupancy
Zr1 0.0000 0.0000 0.0000 1
In1 0.0000 0.0000 0.5000 1
As1 0.5000 0.5000 0.2100 1
As2 0.5000 0.5000 0.7900 1
# - volume (A^3/atom) = 21.02
# - ΔE_f (meV per atom) = -511
# - crystal system = tetragonal

Question: What is the formula in the first record?
Answer: YHfNbCu2

Question: Which of these has the highest ΔE_f?
Answer: YHfNbCu2